A plane-wave DFT calculation with PBE was carried out for an optimized crystal structure of Tl2SnHg4.

a b c (Å): 5.778 5.778 8.728
angles (deg): 70.67 70.67 90.00
Element x y z (fractional)
Tl: 0.609 0.609 0.781
Tl: 0.391 0.391 0.219
Hg: 0.806 0.806 0.388
Hg: 0.194 0.194 0.612
Hg: 0.000 0.500 0.000
Hg: 0.500 0.000 0.000
Sn: 0.000 0.000 0.000

Calculated volume (A^3/atom): 36.78
DOS at the Fermi energy (states/eV/cell): 2.9
Energy above the most stable polymorph in this dataset (eV per atom): 0.113
Space-group type: No. 139
Total energy (eV/atom): -1.29
E_form (eV per atom): 0.1265

=====

A plane-wave DFT calculation with PBE was carried out for an optimized crystal structure of MgCoCuRu.

a b c (Å): 4.245 4.245 4.245
angles (deg): 60.00 60.00 60.00
Each line ends with the local moment (μB).
Element x y z (fractional)
Ru: 0.250 0.250 0.250  0.89
Mg: 0.750 0.750 0.750  -0.02
Co: 0.000 0.000 0.000  1.61
Cu: 0.500 0.500 0.500  0.02

Calculated volume (A^3/atom): 13.52
DOS at the Fermi energy (states/eV/cell): 3.1
Space-group type: No. 216
Total energy (eV/atom): -5.39
E_form (eV per atom): 0.1324